First-principles (PBE) data for an optimized crystal structure of ZrSc2TlCo, as listed in Alexandria.

It has space group P4/mmm (No. 123), with a = 4.846 Å, b = 4.846 Å, c = 4.813 Å, α = 90.00°, β = 90.00° and γ = 90.00°. The asymmetric unit holds Zr at (0.000, 0.000, 0.000), Sc at (0.000, 0.500, 0.500), Tl at (0.500, 0.500, 0.000) and Co at (0.000, 0.000, 0.500).

The calculation puts the electronic total energy at -31.1 eV/cell. The density of states at the Fermi level comes out at 6.161 states/eV/cell. The total magnetization is 0.00 μB/atom. The energy above the lowest structure with this stoichiometry comes out at 0 meV/atom. The energy of formation comes out at -0.0774 eV/atom.

=====

First-principles (PBE) data for an optimized crystal structure of PPbWCl2, as listed in Alexandria.

It has space group P4/mmm (No. 123), with a = 5.237 Å, b = 5.237 Å, c = 4.886 Å, α = 90.00°, β = 90.00° and γ = 90.00°. The asymmetric unit holds P at (0.000, 0.000, 0.000), Pb at (0.500, 0.500, 0.000), W at (0.000, 0.000, 0.500) and Cl at (0.000, 0.500, 0.500).

The calculation puts the electronic total energy at -24.6 eV/cell. The density of states at the Fermi level comes out at 3.602 states/eV/cell. The total magnetization is 0.41 μB/atom. As for the formation energy from raw total energies: 22.0 kJ per mole of atoms. The energy above the lowest structure with this stoichiometry comes out at 0 meV/atom.